Entry from Alexandria: an optimized crystal structure of AcHo4Si4 (PBE-GGA).

Unit cell a=9.380 b=9.380 c=5.650 alpha=90.00 beta=90.00 gamma=90.00
Space group P4_2/n (No. 86, origin choice 2)
One atom of each set of equivalent atoms:
1 Ac 0.250 0.250 0.250 [2 per cell]
2 Ho 0.112 0.633 0.128 [8 per cell]
3 Si 0.062 0.577 0.637 [8 per cell]

Properties
- V (Å³ per cell) = 497
- total magnetization (μB/cell) = 0.00
- electronic total energy (eV/cell) = -97.34

Entry from Alexandria: an optimized crystal structure of AcHo2Si (PBE-GGA).

Unit cell a=3.7332 b=3.7332 c=32.9347 alpha=90.00 beta=90.00 gamma=120.00
Space group R-3m (No. 166, hexagonal axes)
One atom of each set of equivalent atoms:
1 Ac 0.0000 0.0000 0.0000 [3 per cell]
2 Ho 0.0000 0.0000 0.1118 [6 per cell]
3 Si 0.0000 0.0000 0.5000 [3 per cell]

Properties
- V (Å³ per cell) = 398
- total magnetization (μB/cell) = 0.00
- electronic total energy (eV/cell) = -56.54

Entry from Alexandria: an optimized crystal structure of AcHoSi (PBE-GGA).

Unit cell a=7.207 b=7.207 c=7.207 alpha=90.00 beta=90.00 gamma=90.00
Space group F-43m (No. 216)
One atom of each set of equivalent atoms:
1 Ac 0.000 0.000 0.000 [4 per cell]
2 Ho 0.000 0.000 0.500 [4 per cell]
3 Si 0.250 0.250 0.750 [4 per cell]

Properties
- V (Å³ per cell) = 374
- total magnetization (μB/cell) = 0.00
- electronic total energy (eV/cell) = -60.16

Entry from Alexandria: an optimized crystal structure of AcHo2Si6 (PBE-GGA).

Unit cell a=7.2174 b=7.2174 c=4.0871 alpha=90.00 beta=90.00 gamma=120.00
Space group P6/mmm (No. 191)
One atom of each set of equivalent atoms:
1 Ac 0.0000 0.0000 0.0000 [1 per cell]
2 Ho 0.3333 0.6667 0.0000 [2 per cell]
3 Si 0.0000 0.3403 0.5000 [6 per cell]

Properties
- V (Å³ per cell) = 184
- total magnetization (μB/cell) = 0.00
- electronic total energy (eV/cell) = -50.18

What is the formula in the third record? AcHoSi

What is the formula in the fourth record? AcHo2Si6

Among the records above, which one has the highest electronic total energy? AcHo2Si6